[1]
Sm2Ho12Sc PBE optimized geometry; raw total energy = -4.5854 eV/atom; space group = P2/m (10); total magnetic moment = 0.00 μB per cell; ΔH_f (0 K) = 128 meV/atom; mass density = 8.2 g cm⁻³; volume = 472.51 Å³ per cell
1.0
3.5430 0.0000 0.0000
0.0000 5.4488 0.0000
-0.3315 0.0000 24.4760
Sm Ho Sc
2 12 1
Cartesian
0.7118 0.0000 6.7735
2.4998 0.0000 17.7026
0.7217 0.0000 3.1059
0.4900 2.7244 22.9831
0.7219 2.7244 10.9011
0.7174 0.0000 14.0117
0.7260 2.7244 16.3578
0.7181 2.7244 19.6172
2.4934 2.7244 4.8588
2.4855 2.7244 8.1183
2.4941 0.0000 10.4643
2.4897 2.7244 13.5750
2.7215 2.7244 1.4930
2.4899 0.0000 21.3701
1.7715 0.0000 0.0000

***

[2]
SmHo12Sc6 PBE optimized geometry; raw total energy = -4.7092 eV/atom; space group = R-3m (166); total magnetic moment = 0.00 μB per cell; ΔH_f (0 K) = 430 meV/atom; mass density = 6.6 g cm⁻³; volume = 599.88 Å³ per cell; E above lowest polymorph = 0.1858 eV/atom
1.0
7.2559 4.1892 3.2892
-7.2559 4.1892 3.2892
0.0000 -8.3784 3.2892
Sm Ho Sc
1 12 6
Cartesian
0.0000 0.0000 0.0000
-2.8128 -4.8720 4.9338
-5.6257 0.0000 4.9338
-1.6342 -0.9435 2.9678
1.6342 -0.9435 2.9678
0.0000 1.8871 2.9678
2.8128 -4.8720 4.9338
-2.8128 4.8720 4.9338
0.0000 -1.8871 6.8998
-1.6343 0.9435 6.8998
1.6342 0.9435 6.8998
5.6257 0.0000 4.9338
2.8128 4.8720 4.9338
-3.0192 -1.7431 5.4492
0.0000 -3.4862 4.4184
-3.0192 1.7431 4.4184
3.0192 -1.7431 5.4492
0.0000 3.4862 5.4492
3.0192 1.7431 4.4184

***

[3]
SmHo7Sc3 PBE optimized geometry; raw total energy = -4.8450 eV/atom; space group = P3m1 (156); total magnetic moment = 0.01 μB per cell; ΔH_f (0 K) = 224 meV/atom; mass density = 7.0 g cm⁻³; volume = 342.93 Å³ per cell
1.0
6.9359 0.0000 0.0000
-3.4679 6.0066 0.0000
0.0000 0.0000 8.2313
Sm Ho Sc
1 7 3
Cartesian
0.0000 0.0000 0.0000
-1.7204 3.0112 0.0960
1.7215 0.9939 5.4115
0.0000 4.0044 5.4969
1.7204 3.0112 0.0960
0.0000 5.9909 0.0960
5.2144 0.9939 5.4115
3.4679 4.0188 5.4115
0.0000 2.0124 2.7636
-1.7251 5.0004 2.7636
1.7251 5.0004 2.7636

***

[4]
Sm9Ho2Sc PBE optimized geometry; raw total energy = -4.8039 eV/atom; space group = P4/mmm (123); total magnetic moment = 0.00 μB per cell; ΔH_f (0 K) = 26 meV/atom; mass density = 7.4 g cm⁻³; volume = 389.30 Å³ per cell
1.0
5.0648 0.0000 0.0000
0.0000 5.0648 0.0000
0.0000 0.0000 15.1759
Sm Ho Sc
9 2 1
Cartesian
0.0000 0.0000 0.0000
0.0000 0.0000 5.0283
0.0000 0.0000 10.1476
0.0000 2.5324 2.4704
0.0000 2.5324 7.5880
0.0000 2.5324 12.7055
2.5324 0.0000 2.4704
2.5324 0.0000 7.5880
2.5324 0.0000 12.7055
2.5324 2.5324 5.0294
2.5324 2.5324 10.1465
2.5324 2.5324 0.0000

***

[5]
SmHo2Sc8 PBE optimized geometry; raw total energy = -5.7315 eV/atom; space group = C2/m (12); total magnetic moment = 0.00 μB per cell; ΔH_f (0 K) = 135 meV/atom; mass density = 4.6 g cm⁻³; volume = 301.04 Å³ per cell
1.0
4.3648 -8.0802 0.0000
4.3648 8.0802 0.0000
-3.4329 0.0000 4.2679
Sm Ho Sc
1 2 8
Cartesian
0.0000 0.0000 0.0000
2.6484 3.0712 2.1340
2.6484 -3.0712 2.1340
-0.5095 2.1029 3.1047
4.3648 4.8080 0.0000
-0.5095 -2.1029 3.1047
3.4786 0.0000 1.0923
1.8181 0.0000 3.1756
5.8062 2.1029 1.1632
4.3648 -4.8080 0.0000
5.8062 -2.1029 1.1632

***

[6]
Sm3Ho3Sc PBE optimized geometry; raw total energy = -4.8572 eV/atom; space group = P6_3/m (176); total magnetic moment = 0.00 μB per cell; ΔH_f (0 K) = 32 meV/atom; mass density = 7.5 g cm⁻³; volume = 439.86 Å³ per cell; E above lowest polymorph = 0.0000 eV/atom
1.0
9.4713 0.0000 0.0000
-4.7356 8.2024 0.0000
0.0000 0.0000 5.6615
Sm Ho Sc
6 6 2
Cartesian
-0.6654 2.0098 1.4154
-2.6624 7.7737 1.4154
1.4079 1.5812 4.2461
3.3278 6.6212 1.4154
7.3980 0.4287 4.2461
5.4010 6.1925 4.2461
-1.3602 3.9364 4.2461
-0.6465 7.4121 4.2461
2.7290 3.1462 1.4154
2.0067 5.0562 4.2461
5.3821 0.7903 1.4154
6.0958 4.2659 1.4154
0.0000 5.4682 1.4154
4.7356 2.7341 4.2461

***

[7]
SmHo12Sc6 PBE optimized geometry; raw total energy = -4.8950 eV/atom; space group = Im-3 (204); total magnetic moment = 0.00 μB per cell; ΔH_f (0 K) = 244 meV/atom; mass density = 7.1 g cm⁻³; volume = 563.34 Å³ per cell; E above lowest polymorph = 0.0000 eV/atom
1.0
-5.2028 5.2028 5.2028
5.2028 -5.2028 5.2028
5.2028 5.2028 -5.2028
Sm Ho Sc
1 12 6
Cartesian
0.0000 0.0000 0.0000
5.2028 -2.4269 3.1545
2.7758 2.0483 0.0000
7.6297 2.0483 0.0000
3.1545 5.2028 -2.4269
2.0483 0.0000 2.7758
0.0000 2.7758 2.0483
5.2028 2.4269 3.1545
3.1545 5.2028 2.4269
2.0483 0.0000 7.6297
-2.4269 3.1545 5.2028
2.4269 3.1545 5.2028
0.0000 7.6297 2.0483
5.2028 0.0000 1.4316
5.2028 3.7712 0.0000
1.4316 5.2028 0.0000
3.7712 0.0000 5.2028
0.0000 1.4316 5.2028
0.0000 5.2028 3.7712

***

[8]
SmHo6Sc2 PBE optimized geometry; raw total energy = -4.8525 eV/atom; space group = C2/c (15); total magnetic moment = 0.00 μB per cell; ΔH_f (0 K) = 131 meV/atom; mass density = 7.5 g cm⁻³; volume = 542.41 Å³ per cell; E above lowest polymorph = 0.0000 eV/atom
1.0
6.6773 -6.4265 0.0000
6.6773 6.4265 0.0000
-1.5433 0.0000 6.3201
Sm Ho Sc
2 12 4
Cartesian
5.5198 4.5975 4.7401
6.2915 -4.5975 1.5800
0.3524 1.0823 5.1938
3.0163 2.6500 1.6605
1.1241 -1.0823 2.0337
6.3303 1.8365 0.0127
6.2526 1.8365 3.1474
2.2447 -2.6500 4.8206
9.5666 2.6500 1.4995
5.5587 -1.8365 3.1727
5.4809 -1.8365 6.3074
10.6872 1.0823 4.2864
8.7950 -2.6500 4.6596
11.4589 -1.0823 1.1263
3.3007 0.3795 3.9750
4.0723 -0.3795 0.8150
7.7390 0.3795 5.5051
8.5106 -0.3795 2.3451

***

[9]
Sm3Ho8Sc4 PBE optimized geometry; raw total energy = -4.6845 eV/atom; space group = C2/m (12); total magnetic moment = 0.27 μB per cell; ΔH_f (0 K) = 389 meV/atom; mass density = 7.0 g cm⁻³; volume = 460.00 Å³ per cell
1.0
6.5229 -5.9367 0.0000
6.5229 5.9367 0.0000
-2.8681 0.0000 5.9393
Sm Ho Sc
3 8 4
Cartesian
0.0000 0.0000 0.0000
1.8274 2.9684 2.9696
1.8274 -2.9684 2.9696
0.7474 0.0000 3.9351
5.0889 3.4931 2.9696
6.5229 2.8485 0.0000
2.9348 0.0000 1.1364
7.2430 0.0000 4.8029
6.5229 -2.8485 0.0000
5.0889 -3.4931 2.9696
9.4304 0.0000 2.0042
3.2615 2.9684 0.0000
3.2615 -2.9684 0.0000
6.5229 0.0000 0.0000
5.0889 0.0000 2.9696

***

[10]
Sm7Ho2Sc2 PBE optimized geometry; raw total energy = -4.8342 eV/atom; space group = C2/m (12); total magnetic moment = 0.00 μB per cell; ΔH_f (0 K) = 152 meV/atom; mass density = 6.9 g cm⁻³; volume = 352.00 Å³ per cell; E above lowest polymorph = 0.0000 eV/atom
1.0
5.4433 -5.7363 0.0000
5.4433 5.7363 0.0000
-2.2411 0.0000 5.6366
Sm Ho Sc
7 2 2
Cartesian
0.0000 0.0000 0.0000
1.6781 2.9857 4.5618
6.9675 2.9857 1.0748
4.1138 0.0000 1.1480
4.5318 0.0000 4.4887
1.6781 -2.9857 4.5618
6.9675 -2.9857 1.0748
1.0136 0.0000 3.2731
7.6320 0.0000 2.3635
4.3228 3.1650 2.8183
4.3228 -3.1650 2.8183

***

[11]
Sm2Ho2Sc5 PBE optimized geometry; raw total energy = -5.3852 eV/atom; space group = Ima2 (46); total magnetic moment = 0.00 μB per cell; ΔH_f (0 K) = 198 meV/atom; mass density = 5.5 g cm⁻³; volume = 513.10 Å³ per cell
1.0
-5.8646 4.1947 5.2144
5.8646 -4.1947 5.2144
5.8646 4.1947 -5.2144
Sm Ho Sc
4 4 10
Cartesian
0.0000 0.0000 0.0000
5.8646 0.0000 0.0000
8.7969 -0.8617 1.1959
2.9323 0.8617 1.1959
1.2379 3.1388 -0.7526
4.6267 3.1388 -0.7526
1.2379 1.0558 4.4618
4.6267 1.0558 4.4618
7.0562 2.5352 -2.6741
4.6730 -1.6595 2.5403
2.9323 -1.7222 5.2560
-1.1916 1.6595 2.5403
7.0562 1.6595 2.5403
1.4668 3.6522 2.4319
4.3978 3.6522 2.4319
2.9323 5.9169 0.0416
-1.4668 4.7371 2.4319
1.4668 0.5424 7.6463

***

[12]
Sm3Ho7Sc PBE optimized geometry; raw total energy = -4.6145 eV/atom; space group = C2/m (12); total magnetic moment = 0.00 μB per cell; ΔH_f (0 K) = 161 meV/atom; mass density = 7.8 g cm⁻³; volume = 701.44 Å³ per cell; E above lowest polymorph = 0.0000 eV/atom
1.0
3.4536 -9.1498 0.0000
3.4536 9.1498 0.0000
-0.0174 0.0000 11.0989
Sm Ho Sc
6 14 2
Cartesian
0.0000 0.0000 0.0000
3.4368 4.5842 8.3241
3.4530 4.5842 2.7748
3.4449 0.0000 5.5494
3.4368 -4.5842 8.3241
3.4530 -4.5842 2.7748
1.7037 2.9157 5.8504
1.7272 2.9158 10.7972
1.7327 1.5595 2.7738
1.7062 0.0000 8.3229
1.7327 -1.5595 2.7738
1.7037 -2.9157 5.8504
1.7272 -2.9158 10.7972
5.1626 2.9158 0.3016
5.1861 2.9157 5.2485
5.1571 1.5595 8.3250
5.1836 0.0000 2.7759
5.1571 -1.5595 8.3250
5.1626 -2.9158 0.3016
5.1861 -2.9157 5.2485
-0.0087 0.0000 5.5494
3.4536 0.0000 0.0000